Ba2CuIr, relaxed, DFT PBE; space-group type = No. 122; ΔE_f = 0.36 eV/atom
1.0
8.443 0.000 0.000
0.000 8.443 0.000
0.000 0.000 6.929
Ba Cu Ir
8 4 4
Direct
0.227 0.250 0.125
0.250 0.727 0.375
0.250 0.773 0.875
0.273 0.250 0.625
0.727 0.750 0.625
0.750 0.227 0.875
0.750 0.273 0.375
0.773 0.750 0.125
0.000 0.000 0.500
0.000 0.500 0.750
0.500 0.000 0.250
0.500 0.500 0.000
0.000 0.000 0.000
0.000 0.500 0.250
0.500 0.000 0.750
0.500 0.500 0.500